Material: MgZr2Sb
Method: DFT, PBE
State: optimized geometry

Unit cell a=3.718 b=3.718 c=6.405 alpha=90.00 beta=90.00 gamma=90.00
Fractional coordinates of all 4 atoms:
Mg 0.000 0.000 0.000
Zr 0.500 0.500 0.260
Zr 0.500 0.500 0.740
Sb 0.000 0.000 0.500

Values from the calculation:
E = -6.0148 eV/atom
total magnetization = 0.00 Bohr magnetons per cell
symmetry = No. 123
formation energy (no corrections) = -30 kJ per mole of atoms